1.
# NaTl2Hg

A relaxed structure of NaTl2Hg (GGA-PBE, the Alexandria database).

Unit cell a=11.991 b=11.991 c=11.991 alpha=16.63 beta=16.63 gamma=16.63
Element x y z (fractional)
Na1 0.000 0.000 0.000
Tl1 0.090 0.090 0.090
Tl2 0.910 0.910 0.910
Hg1 0.500 0.500 0.500

Results
The formation enthalpy at 0 K comes out at 0.137 eV per formula unit. Its space group is R-3m (166). Its total magnetization is 0.00 Bohr magnetons per cell. Its density is 8524 kg/m3.



2.
# NaTl2Hg

A relaxed structure of NaTl2Hg (GGA-PBE, the Alexandria database).

Unit cell a=6.207 b=5.308 c=6.806 alpha=90.00 beta=96.38 gamma=90.00
Element x y z (fractional)
Na1 0.142 0.250 0.246
Na2 0.858 0.750 0.754
Tl1 0.337 0.750 0.527
Tl2 0.344 0.750 0.029
Tl3 0.656 0.250 0.971
Tl4 0.663 0.250 0.473
Hg1 0.147 0.250 0.748
Hg2 0.853 0.750 0.252

Results
The formation enthalpy at 0 K comes out at -0.437 eV per formula unit. Its space group is P2_1/m (11). Its total magnetization is 0.00 Bohr magnetons per cell. Its density is 9425 kg/m3.



Copy entry 1 word for word.
# NaTl2Hg

A relaxed structure of NaTl2Hg (GGA-PBE, the Alexandria database).

Unit cell a=11.991 b=11.991 c=11.991 alpha=16.63 beta=16.63 gamma=16.63
Element x y z (fractional)
Na1 0.000 0.000 0.000
Tl1 0.090 0.090 0.090
Tl2 0.910 0.910 0.910
Hg1 0.500 0.500 0.500

Results
The formation enthalpy at 0 K comes out at 0.137 eV per formula unit. Its space group is R-3m (166). Its total magnetization is 0.00 Bohr magnetons per cell. Its density is 8524 kg/m3.



Look up the total magnetization of the first one.
0.00 Bohr magnetons per cell